Entry 1:
First-principles (PBE) data for a relaxed structure of SiAg3Se4, as listed in Alexandria.

Values from the calculation:
Calculated volume: 25.7 A^3/atom

```
data_SiAg3Se4
_chemical_formula_sum 'Si2 Ag6 Se8'
_cell_length_a 8.130
_cell_length_b 7.240
_cell_length_c 6.991
_cell_angle_alpha 90.00
_cell_angle_beta 90.00
_cell_angle_gamma 90.00
_symmetry_space_group_name_H-M 'P m n 21'
_symmetry_Int_Tables_number 31
_symmetry_space_group_name_Hall 'P 2ac -2'
loop_
_atom_site_label
_atom_site_type_symbol
_atom_site_fract_x
_atom_site_fract_y
_atom_site_fract_z
_atom_site_occupancy
Si1 Si 0.000 0.181 0.000 1
Ag1 Ag 0.000 0.861 0.497 1
Ag2 Ag 0.243 0.679 0.983 1
Se1 Se 0.000 0.186 0.669 1
Se2 Se 0.000 0.882 0.117 1
Se3 Se 0.234 0.330 0.106 1
```

---

Entry 2:
First-principles (PBE) data for a relaxed structure of MgTeBrN2, as listed in Alexandria.

Values from the calculation:
Calculated volume: 23.0 A^3/atom

```
data_MgTeBrN2
_chemical_formula_sum 'Mg1 Te1 Br1 N2'
_cell_length_a 4.271
_cell_length_b 4.271
_cell_length_c 6.307
_cell_angle_alpha 90.00
_cell_angle_beta 90.00
_cell_angle_gamma 90.00
_symmetry_space_group_name_H-M 'P 4/m m m'
_symmetry_Int_Tables_number 123
_symmetry_space_group_name_Hall '-P 4 2'
loop_
_atom_site_label
_atom_site_type_symbol
_atom_site_fract_x
_atom_site_fract_y
_atom_site_fract_z
_atom_site_occupancy
Mg1 Mg 0.000 0.000 0.000 1
Te1 Te 0.000 0.000 0.500 1
Br1 Br 0.500 0.500 0.500 1
N1 N 0.000 0.500 0.000 1
```

---

Entry 3:
First-principles (PBE) data for a relaxed structure of LiCuRuAu2, as listed in Alexandria.

Values from the calculation:
Energy relative to the elements: 0.800 eV/atom
Calculated volume: 18.1 A^3/atom

```
data_LiCuRuAu2
_chemical_formula_sum 'Li1 Cu1 Ru1 Au2'
_cell_length_a 4.740
_cell_length_b 4.740
_cell_length_c 4.037
_cell_angle_alpha 90.00
_cell_angle_beta 90.00
_cell_angle_gamma 90.00
_symmetry_space_group_name_H-M 'P 4/m m m'
_symmetry_Int_Tables_number 123
_symmetry_space_group_name_Hall '-P 4 2'
loop_
_atom_site_label
_atom_site_type_symbol
_atom_site_fract_x
_atom_site_fract_y
_atom_site_fract_z
_atom_site_occupancy
Li1 Li 0.000 0.000 0.000 1
Cu1 Cu 0.000 0.000 0.500 1
Ru1 Ru 0.500 0.500 0.000 1
Au1 Au 0.000 0.500 0.500 1
```

---

Entry 4:
First-principles (PBE) data for a relaxed structure of NiGe2Pt3, as listed in Alexandria.

Values from the calculation:
Energy relative to the elements: -0.350 eV/atom
Calculated volume: 15.2 A^3/atom

```
data_NiGe2Pt3
_chemical_formula_sum 'Ni4 Ge8 Pt12'
_cell_length_a 5.309
_cell_length_b 12.667
_cell_length_c 5.439
_cell_angle_alpha 90.00
_cell_angle_beta 90.00
_cell_angle_gamma 90.00
_symmetry_space_group_name_H-M 'I b a m'
_symmetry_Int_Tables_number 72
_symmetry_space_group_name_Hall '-I 2 2c'
loop_
_atom_site_label
_atom_site_type_symbol
_atom_site_fract_x
_atom_site_fract_y
_atom_site_fract_z
_atom_site_occupancy
Ni1 Ni 0.000 0.000 0.250 1
Ge1 Ge 0.231 0.128 0.000 1
Pt1 Pt 0.000 0.500 0.250 1
Pt2 Pt 0.241 0.181 0.500 1
```

---

Entry 5:
First-principles (PBE) data for a relaxed structure of Pu3TiSe6, as listed in Alexandria.

Values from the calculation:
Calculated volume: 26.2 A^3/atom

```
data_Pu3TiSe6
_chemical_formula_sum 'Pu12 Ti4 Se24'
_cell_length_a 11.338
_cell_length_b 13.643
_cell_length_c 6.782
_cell_angle_alpha 90.00
_cell_angle_beta 90.00
_cell_angle_gamma 90.00
_symmetry_space_group_name_H-M 'C m c 21'
_symmetry_Int_Tables_number 36
_symmetry_space_group_name_Hall 'C 2c -2'
loop_
_atom_site_label
_atom_site_type_symbol
_atom_site_fract_x
_atom_site_fract_y
_atom_site_fract_z
_atom_site_occupancy
Pu1 Pu 0.000 0.108 0.000 1
Pu2 Pu 0.183 0.397 0.893 1
Ti1 Ti 0.000 0.342 0.372 1
Se1 Se 0.000 0.269 0.710 1
Se2 Se 0.000 0.493 0.133 1
Se3 Se 0.160 0.250 0.217 1
Se4 Se 0.161 0.029 0.694 1
```

---

Entry 6:
First-principles (PBE) data for a relaxed structure of YRe, as listed in Alexandria.

Values from the calculation:
Energy relative to the elements: 1.405 eV/atom
Calculated volume: 23.8 A^3/atom

```
data_YRe
_chemical_formula_sum 'Y4 Re4'
_cell_length_a 5.755
_cell_length_b 5.755
_cell_length_c 5.755
_cell_angle_alpha 90.00
_cell_angle_beta 90.00
_cell_angle_gamma 90.00
_symmetry_space_group_name_H-M 'F m -3 m'
_symmetry_Int_Tables_number 225
_symmetry_space_group_name_Hall '-F 4 2 3'
loop_
_atom_site_label
_atom_site_type_symbol
_atom_site_fract_x
_atom_site_fract_y
_atom_site_fract_z
_atom_site_occupancy
Y1 Y 0.000 0.000 0.000 1
Re1 Re 0.000 0.000 0.500 1
```

---

Entry 7:
First-principles (PBE) data for a relaxed structure of SrPm3Ge2, as listed in Alexandria.

Values from the calculation:
Energy relative to the elements: -0.474 eV/atom
Calculated volume: 29.8 A^3/atom

```
data_SrPm3Ge2
_chemical_formula_sum 'Sr4 Pm12 Ge8'
_cell_length_a 17.965
_cell_length_b 4.535
_cell_length_c 9.569
_cell_angle_alpha 90.00
_cell_angle_beta 113.53
_cell_angle_gamma 90.00
_symmetry_space_group_name_H-M 'C 1 2/m 1'
_symmetry_Int_Tables_number 12
_symmetry_space_group_name_Hall '-C 2y'
loop_
_atom_site_label
_atom_site_type_symbol
_atom_site_fract_x
_atom_site_fract_y
_atom_site_fract_z
_atom_site_occupancy
Sr1 Sr 0.111 0.000 0.126 1
Pm1 Pm 0.049 0.000 0.688 1
Pm2 Pm 0.152 0.500 0.475 1
Pm3 Pm 0.195 0.500 0.876 1
Ge1 Ge 0.011 0.500 0.851 1
Ge2 Ge 0.231 0.000 0.700 1
```

---

Entry 8:
First-principles (PBE) data for a relaxed structure of ZnCuTc, as listed in Alexandria.

Values from the calculation:
Energy relative to the elements: 0.080 eV/atom
Calculated volume: 13.6 A^3/atom

```
data_ZnCuTc
_chemical_formula_sum 'Zn4 Cu4 Tc4'
_cell_length_a 7.971
_cell_length_b 4.607
_cell_length_c 5.200
_cell_angle_alpha 90.00
_cell_angle_beta 121.10
_cell_angle_gamma 90.00
_symmetry_space_group_name_H-M 'C 1 2 1'
_symmetry_Int_Tables_number 5
_symmetry_space_group_name_Hall 'C 2y'
loop_
_atom_site_label
_atom_site_type_symbol
_atom_site_fract_x
_atom_site_fract_y
_atom_site_fract_z
_atom_site_occupancy
Zn1 Zn 0.167 0.000 0.499 1
Cu1 Cu 0.000 0.329 0.000 1
Cu2 Cu 0.000 0.499 0.500 1
Tc1 Tc 0.168 0.827 0.002 1
```

---

Entry 9:
First-principles (PBE) data for a relaxed structure of SrSmHo2, as listed in Alexandria.

Values from the calculation:
Energy relative to the elements: 0.228 eV/atom
Calculated volume: 36.2 A^3/atom

```
data_SrSmHo2
_chemical_formula_sum 'Sr3 Sm3 Ho6'
_cell_length_a 3.6157
_cell_length_b 3.6157
_cell_length_c 38.3325
_cell_angle_alpha 90.00
_cell_angle_beta 90.00
_cell_angle_gamma 120.00
_symmetry_space_group_name_H-M 'R -3 m'
_symmetry_Int_Tables_number 166
_symmetry_space_group_name_Hall '-R 3 2"'
loop_
_atom_site_label
_atom_site_type_symbol
_atom_site_fract_x
_atom_site_fract_y
_atom_site_fract_z
_atom_site_occupancy
Sr1 Sr 0.0000 0.0000 0.0000 1
Sm1 Sm 0.0000 0.0000 0.5000 1
Ho1 Ho 0.0000 0.0000 0.0925 1
```

---

Entry 10:
First-principles (PBE) data for a relaxed structure of SbAsCSe2, as listed in Alexandria.

Values from the calculation:
Calculated volume: 18.3 A^3/atom

```
data_SbAsCSe2
_chemical_formula_sum 'Sb1 As1 C1 Se2'
_cell_length_a 4.522
_cell_length_b 4.522
_cell_length_c 4.472
_cell_angle_alpha 90.00
_cell_angle_beta 90.00
_cell_angle_gamma 90.00
_symmetry_space_group_name_H-M 'P 4/m m m'
_symmetry_Int_Tables_number 123
_symmetry_space_group_name_Hall '-P 4 2'
loop_
_atom_site_label
_atom_site_type_symbol
_atom_site_fract_x
_atom_site_fract_y
_atom_site_fract_z
_atom_site_occupancy
Sb1 Sb 0.000 0.000 0.000 1
As1 As 0.500 0.500 0.000 1
C1 C 0.500 0.500 0.500 1
Se1 Se 0.000 0.500 0.500 1
```

---

Entry 11:
First-principles (PBE) data for a relaxed structure of Pd9Pt2Pb, as listed in Alexandria.

Values from the calculation:
Energy relative to the elements: -0.089 eV/atom
Calculated volume: 16.0 A^3/atom

```
data_Pd9Pt2Pb
_chemical_formula_sum 'Pd9 Pt2 Pb1'
_cell_length_a 4.008
_cell_length_b 4.008
_cell_length_c 11.975
_cell_angle_alpha 90.00
_cell_angle_beta 90.00
_cell_angle_gamma 90.00
_symmetry_space_group_name_H-M 'P 4/m m m'
_symmetry_Int_Tables_number 123
_symmetry_space_group_name_Hall '-P 4 2'
loop_
_atom_site_label
_atom_site_type_symbol
_atom_site_fract_x
_atom_site_fract_y
_atom_site_fract_z
_atom_site_occupancy
Pd1 Pd 0.000 0.000 0.000 1
Pd2 Pd 0.000 0.000 0.336 1
Pd3 Pd 0.000 0.500 0.175 1
Pd4 Pd 0.000 0.500 0.500 1
Pt1 Pt 0.500 0.500 0.341 1
Pb1 Pb 0.500 0.500 0.000 1
```

---

Entry 12:
First-principles (PBE) data for a relaxed structure of YTl2Hg, as listed in Alexandria.

Values from the calculation:
Energy relative to the elements: -0.145 eV/atom
Calculated volume: 27.7 A^3/atom

```
data_YTl2Hg
_chemical_formula_sum 'Y1 Tl2 Hg1'
_cell_length_a 3.669
_cell_length_b 5.348
_cell_length_c 5.670
_cell_angle_alpha 90.00
_cell_angle_beta 94.90
_cell_angle_gamma 90.00
_symmetry_space_group_name_H-M 'P 1 2/m 1'
_symmetry_Int_Tables_number 10
_symmetry_space_group_name_Hall '-P 2y'
loop_
_atom_site_label
_atom_site_type_symbol
_atom_site_fract_x
_atom_site_fract_y
_atom_site_fract_z
_atom_site_occupancy
Y1 Y 0.000 0.000 0.000 1
Tl1 Tl 0.281 0.500 0.745 1
Hg1 Hg 0.500 0.000 0.500 1
```

---

Calculated total energy list, top to bottom, in eV/cell: -59.10, -16.96, -17.84, -140.95, -338.69, -64.41, -112.04, -61.99, -43.93, -20.13, -63.59, -12.08